This record from the Alexandria database describes a PBEsol-optimized structure of NaPr2OsO6. The functional is meta-GGA SCAN.

Values from the calculation:
Raw total energy = -452.014 eV/cell
Total magnetic moment = 6.00 Bohr magnetons per cell
Formation energy without anion corrections = -25.9 eV/f.u.

a b c (Å): 5.516 5.958 9.594
angles (deg): 90.00 124.07 90.00
Space group P2_1/c (No. 14)
Unique sites:
Na: 0.000 0.000 0.000 (multiplicity 2)
Pr: 0.225 0.073 0.747 (multiplicity 4)
Os: 0.500 0.000 0.500 (multiplicity 2)
O: 0.156 0.175 0.449 (multiplicity 4)
O: 0.268 0.719 0.433 (multiplicity 4)
O: 0.385 0.047 0.268 (multiplicity 4)